Material: LiV2OF5
Method: DFT, GGA+U
State: relaxed

a b c (Å): 4.5832 8.7070 8.7407
angles (deg): 60.13 89.82 89.40
Space group P1 (No. 1)
Unique sites:
Li: 0.0000 0.0000 0.0000
Li: 0.0151 0.3361 0.3262
Li: 0.5046 0.6693 0.6657
V: 0.0155 0.3351 0.6681
V: 0.0161 0.6553 0.9903
V: 0.4853 0.0206 0.6714
V: 0.4854 0.3302 0.0154
V: 0.5192 0.6812 0.3155
V: 0.9822 0.9798 0.3416
O: 0.2360 0.4477 0.0924
O: 0.2435 0.1298 0.7598
O: 0.7664 0.8740 0.2402
F: 0.2336 0.1019 0.4497
F: 0.2395 0.4599 0.4370
F: 0.2409 0.1014 0.1260
F: 0.2519 0.7731 0.1049
F: 0.2586 0.7868 0.7722
F: 0.2656 0.7721 0.4488
F: 0.2721 0.4410 0.7811
F: 0.7299 0.8984 0.5592
F: 0.7349 0.5517 0.5508
F: 0.7360 0.5539 0.8845
F: 0.7510 0.2136 0.2262
F: 0.7560 0.2360 0.5501
F: 0.7607 0.5619 0.2048
F: 0.7638 0.2321 0.8900
F: 0.7671 0.8898 0.8774

Results
- energy above the lowest structure with this stoichiometry (meV per atom) = 15
- Fermi-level density of states (states/eV/atom) = 0.00

=====

Material: LiV2OF5
Method: DFT, GGA+U
State: relaxed

a b c (Å): 5.1657 5.1930 13.9709
angles (deg): 90.44 90.13 119.06
Space group P1 (No. 1)
Unique sites:
Li: 0.0000 0.0000 0.0000
Li: 0.3125 0.6271 0.3319
Li: 0.6555 0.3360 0.6652
V: 0.2880 0.6525 0.6340
V: 0.3227 0.6282 0.1226
V: 0.6195 0.3086 0.4559
V: 0.6348 0.3169 0.9673
V: 0.9758 0.9642 0.7892
V: 0.9990 0.9907 0.3010
O: 0.0192 0.6981 0.7108
O: 0.3074 0.2621 0.3778
O: 0.3660 0.3602 0.0462
F: 0.0427 0.3254 0.2172
F: 0.2491 0.8985 0.2156
F: 0.2825 0.0220 0.8871
F: 0.2865 0.3238 0.7120
F: 0.3741 0.9925 0.5495
F: 0.5735 0.5806 0.5533
F: 0.6331 0.9875 0.0456
F: 0.6336 0.7019 0.2206
F: 0.6468 0.9702 0.7139
F: 0.6684 0.9928 0.3777
F: 0.7012 0.6414 0.8812
F: 0.9127 0.2314 0.8865
F: 0.9431 0.3592 0.5518
F: 0.9503 0.6314 0.3812
F: 0.9952 0.6333 0.0452

Results
- energy above the lowest structure with this stoichiometry (meV per atom) = 21
- Fermi-level density of states (states/eV/atom) = 0.00

=====

Material: LiV2OF5
Method: DFT, GGA+U
State: relaxed

a b c (Å): 5.2173 5.2173 13.8937
angles (deg): 90.00 90.00 120.00
Space group P3_121 (No. 152)
Unique sites:
Li: 0.0000 0.3157 0.1667
V: 0.0177 0.3231 0.4199
O: 0.0000 0.9465 0.1667
F: 0.0000 0.7281 0.6667
F: 0.0410 0.6455 0.9985
F: 0.3145 0.6799 0.4978

Results
- energy above the lowest structure with this stoichiometry (meV per atom) = 33

=====

Material: Li6V2O5F2
Method: DFT, GGA+U
State: relaxed

a b c (Å): 5.8713 5.8776 9.8774
angles (deg): 99.08 90.45 119.22
Space group P1 (No. 1)
Unique sites:
Li: 0.0000 0.0000 0.0000
Li: 0.0051 0.5565 0.9977
Li: 0.1391 0.2744 0.7126
Li: 0.1820 0.9970 0.4934
Li: 0.3329 0.7421 0.2253
Li: 0.3590 0.2732 0.2114
Li: 0.4474 0.9973 0.0047
Li: 0.5843 0.7154 0.7103
Li: 0.5932 0.2797 0.6923
Li: 0.7435 0.5523 0.4914
Li: 0.7591 0.0123 0.5099
Li: 0.8460 0.2566 0.1989
V: 0.1120 0.7732 0.7352
V: 0.2266 0.5090 0.4694
V: 0.4721 0.5030 0.9713
V: 0.8416 0.7456 0.2287
O: 0.0315 0.6349 0.3569
O: 0.1590 0.8937 0.1293
O: 0.2994 0.6390 0.8539
O: 0.3028 0.1385 0.8558
O: 0.4054 0.3764 0.5759
O: 0.5273 0.6359 0.3485
O: 0.6618 0.3888 0.0947
O: 0.6623 0.8631 0.0993
O: 0.9207 0.8914 0.6297
O: 0.9439 0.4157 0.6057
F: 0.1519 0.3743 0.0903
F: 0.4256 0.8956 0.6035
F: 0.7948 0.6270 0.8540
F: 0.9990 0.1305 0.3560

Results
- energy above the lowest structure with this stoichiometry (meV per atom) = 9

=====

Material: LiVO2F
Method: DFT, GGA+U
State: relaxed

a b c (Å): 13.8455 3.5212 4.9071
angles (deg): 90.00 90.00 90.00
Space group Pnma (No. 62)
Unique sites:
Li: 0.1705 0.2500 0.1333
V: 0.0824 0.7500 0.5994
O: 0.0621 0.2500 0.4368
O: 0.1090 0.7500 0.9303
F: 0.2096 0.7500 0.4221

Results
- total energy (hartree per atom) = -0.2410
- Fermi-level density of states (states/eV/atom) = 0.00

=====

Material: Li4VO3F2
Method: DFT, GGA+U
State: relaxed

a b c (Å): 9.0656 5.9331 7.9740
angles (deg): 90.00 99.98 90.00
Space group C2/c (No. 15)
Unique sites:
Li: 0.0872 0.1564 0.4422
Li: 0.1993 0.3275 0.1354
V: 0.0000 0.3412 0.7500
O: 0.0000 0.3610 0.2500
O: 0.0929 0.1739 0.9296
F: 0.1945 0.3333 0.6494

Results
- energy above the lowest structure with this stoichiometry (meV per atom) = 12
- Fermi-level density of states (states/eV/atom) = 0.00

=====

Material: Li2VOF4
Method: DFT, GGA+U
State: relaxed

a b c (Å): 3.7016 9.9788 11.4696
angles (deg): 64.22 80.79 89.70
Space group P1 (No. 1)
Unique sites:
Li: 0.0000 0.0000 0.0000
Li: 0.0753 0.7649 0.8253
Li: 0.2369 0.9764 0.5010
Li: 0.3276 0.3864 0.3261
Li: 0.4962 0.5002 0.9999
Li: 0.5947 0.2649 0.8254
Li: 0.7499 0.4764 0.5008
Li: 0.8288 0.8864 0.3261
V: 0.2276 0.1818 0.6345
V: 0.3834 0.1605 0.1346
V: 0.6315 0.6819 0.6344
V: 0.8822 0.6604 0.1346
O: 0.1668 0.6979 0.6434
O: 0.4185 0.6360 0.1434
O: 0.6830 0.1977 0.6434
O: 0.9197 0.1361 0.1433
F: 0.0061 0.8285 0.9652
F: 0.0961 0.1823 0.8132
F: 0.1470 0.9712 0.6976
F: 0.2349 0.4028 0.5263
F: 0.2667 0.1829 0.4650
F: 0.3378 0.9816 0.3128
F: 0.4005 0.3078 0.1978
F: 0.4865 0.0473 0.0270
F: 0.5085 0.3286 0.9651
F: 0.5857 0.6824 0.8132
F: 0.6526 0.4712 0.6977
F: 0.7282 0.9028 0.5262
F: 0.7570 0.6828 0.4650
F: 0.8384 0.4815 0.3128
F: 0.9015 0.8078 0.1978
F: 0.9828 0.5473 0.0269

Results
- energy above the lowest structure with this stoichiometry (meV per atom) = 5
- Fermi-level density of states (states/eV/atom) = 0.00

=====

Material: LiVOF4
Method: DFT, GGA+U
State: relaxed

a b c (Å): 5.3977 5.6173 7.0193
angles (deg): 108.19 90.71 107.46
Space group P-1 (No. 2)
Unique sites:
Li: 0.1030 0.3276 0.3235
V: 0.5000 0.0000 0.0000
V: 0.5000 0.0000 0.5000
O: 0.4820 0.9043 0.2278
F: 0.1746 0.7580 0.8926
F: 0.2052 0.7055 0.4792
F: 0.2841 0.1990 0.4980
F: 0.3459 0.2522 0.1207

Results
- energy above the lowest structure with this stoichiometry (meV per atom) = 15
- Fermi-level density of states (states/eV/atom) = 0.00

=====

Copy entry 8 word for word.
Material: LiVOF4
Method: DFT, GGA+U
State: relaxed

a b c (Å): 5.3977 5.6173 7.0193
angles (deg): 108.19 90.71 107.46
Space group P-1 (No. 2)
Unique sites:
Li: 0.1030 0.3276 0.3235
V: 0.5000 0.0000 0.0000
V: 0.5000 0.0000 0.5000
O: 0.4820 0.9043 0.2278
F: 0.1746 0.7580 0.8926
F: 0.2052 0.7055 0.4792
F: 0.2841 0.1990 0.4980
F: 0.3459 0.2522 0.1207

Results
- energy above the lowest structure with this stoichiometry (meV per atom) = 15
- Fermi-level density of states (states/eV/atom) = 0.00